Material: Dy3Ho3Cd2
Method: DFT, GGA-PBE
State: relaxed

```
data_Dy3Ho3Cd2
_chemical_formula_sum 'Dy12 Ho12 Cd8'
_space_group_name_H-M_alt 'C m c m'
_space_group_IT_number 63
_space_group_name_Hall '-C 2c 2'
_cell_length_a 5.221
_cell_length_b 11.634
_cell_length_c 15.530
_cell_angle_alpha 90.00
_cell_angle_beta 90.00
_cell_angle_gamma 90.00
loop_
_atom_site_label
_atom_site_fract_x
_atom_site_fract_y
_atom_site_fract_z
_atom_site_occupancy
Dy1 0.000 0.045 0.250 1
Dy2 0.000 0.145 0.531 1
Ho1 0.000 0.238 0.750 1
Ho2 0.000 0.458 0.605 1
Cd1 0.000 0.276 0.140 1
```



Material: DyHoCd14
Method: DFT, GGA-PBE
State: relaxed

```
data_DyHoCd14
_chemical_formula_sum 'Dy1 Ho1 Cd14'
_space_group_name_H-M_alt 'P 4/m m m'
_space_group_IT_number 123
_space_group_name_Hall '-P 4 2'
_cell_length_a 6.587
_cell_length_b 6.587
_cell_length_c 8.505
_cell_angle_alpha 90.00
_cell_angle_beta 90.00
_cell_angle_gamma 90.00
loop_
_atom_site_label
_atom_site_fract_x
_atom_site_fract_y
_atom_site_fract_z
_atom_site_occupancy
Dy1 0.000 0.000 0.000 1
Ho1 0.500 0.500 0.000 1
Cd1 0.000 0.000 0.500 1
Cd2 0.000 0.500 0.000 1
Cd3 0.000 0.500 0.500 1
Cd4 0.250 0.250 0.257 1
Cd5 0.500 0.500 0.500 1
```



Material: Dy5HoCd3
Method: DFT, GGA-PBE
State: relaxed

```
data_Dy5HoCd3
_chemical_formula_sum 'Dy10 Ho2 Cd6'
_space_group_name_H-M_alt 'P 63/m c m'
_space_group_IT_number 193
_space_group_name_Hall '-P 6c 2'
_cell_length_a 9.1665
_cell_length_b 9.1665
_cell_length_c 6.9222
_cell_angle_alpha 90.00
_cell_angle_beta 90.00
_cell_angle_gamma 120.00
loop_
_atom_site_label
_atom_site_fract_x
_atom_site_fract_y
_atom_site_fract_z
_atom_site_occupancy
Dy1 0.0000 0.3329 0.2500 1
Dy2 0.3333 0.6667 0.0000 1
Ho1 0.0000 0.0000 0.0000 1
Cd1 0.0000 0.3334 0.7500 1
```



no.,formation enthalpy at 0 K (eV per atom),size of the total moment (μB/f.u.)
1,-0.049,0.00
2,-0.134,0.00
3,-0.189,0.00